Computed, not measured: a geometry-optimized LiCaPd2F8 structure at the PBE level of DFT.

Output
formation energy without anion corrections = -2020 meV per atom
raw total energy = -4.459 eV/atom

Lattice parameters (Å, degrees): 5.310 5.310 10.657 90.00 90.00 90.00
Space group I-4 (No. 82)
Unique sites:
Li  0.000  0.000  0.000 [2 per cell]
Ca  0.000  0.500  0.250 [2 per cell]
Pd  0.000  0.000  0.500 [2 per cell]
Pd  0.000  0.500  0.750 [2 per cell]
F  0.241  0.252  0.624 [8 per cell]
F  0.244  0.745  0.623 [8 per cell]